The following is a DFT calculation (PBE) of crystalline K2TlAu2I6 at its relaxed geometry.

Unit cell a=7.8568 b=8.5341 c=9.4818 alpha=114.23 beta=90.00 gamma=117.41
Fractional positions:
1 I 0.2441 0.4883 0.3888
2 Tl 0.5000 0.0000 0.5000
3 K 0.7316 0.4631 0.2181
4 I 0.6542 0.8296 0.1538
5 I 0.3458 0.1704 0.8462
6 I 0.1754 0.8296 0.1538
7 I 0.7559 0.5117 0.6112
8 Au 0.0471 0.0943 0.2353
9 K 0.2684 0.5369 0.7819
10 Au 0.9529 0.9057 0.7647
11 I 0.8246 0.1704 0.8462

Computed properties:
M_tot = 0.000 μB/f.u.
Total energy = -27.11 eV per cell

---

The following is a DFT calculation (PBE) of crystalline KTlAu2I8 at its relaxed geometry.

Unit cell a=8.4384 b=8.4384 c=9.4856 alpha=116.41 beta=116.41 gamma=90.00
Fractional positions:
1 I 0.1737 0.5497 0.9709
2 Au 0.2500 0.7500 0.5000
3 I 0.1728 0.4207 0.4659
4 I 0.4503 0.2028 0.0291
5 I 0.2931 0.0452 0.4659
6 I 0.7972 0.4212 0.9709
7 Au 0.5000 0.5000 0.0000
8 I 0.9548 0.8272 0.5341
9 I 0.5793 0.7069 0.5341
10 I 0.5788 0.8263 0.0291
11 Tl 0.0000 0.0000 0.0000
12 K 0.7500 0.2500 0.5000

Computed properties:
M_tot = 0.000 μB/f.u.
Total energy = -26.49 eV per cell

---

The following is a DFT calculation (PBE) of crystalline K2TlAuI at its relaxed geometry.

Unit cell a=6.2798 b=6.2798 c=5.6729 alpha=90.00 beta=90.00 gamma=90.00
Fractional positions:
1 K 0.5000 0.0000 0.0000
2 I 0.5000 0.5000 0.5000
3 Au 0.0000 0.0000 0.0000
4 K 0.0000 0.5000 0.0000
5 Tl 0.0000 0.0000 0.5000

Computed properties:
M_tot = 0.000 μB/f.u.
Total energy = -11.82 eV per cell

---

The following is a DFT calculation (PBE) of crystalline KTlAuI at its relaxed geometry.

Unit cell a=5.7832 b=5.7832 c=5.7832 alpha=60.00 beta=60.00 gamma=60.00
Fractional positions:
1 K 0.5000 0.5000 0.5000
2 Au 0.7500 0.7500 0.7500
3 Tl 0.0000 0.0000 0.0000
4 I 0.2500 0.2500 0.2500

Computed properties:
M_tot = 0.000 μB/f.u.
Total energy = -10.26 eV per cell

---

The following is a DFT calculation (PBE) of crystalline K2YAuI6 at its relaxed geometry.

Unit cell a=8.5263 b=8.5263 c=8.5263 alpha=60.00 beta=60.00 gamma=60.00
Fractional positions:
1 I 0.7493 0.7493 0.2507
2 K 0.2500 0.2500 0.2500
3 K 0.7500 0.7500 0.7500
4 I 0.2507 0.7493 0.2507
5 I 0.7493 0.2507 0.7493
6 Au 0.5000 0.5000 0.5000
7 I 0.7493 0.2507 0.2507
8 I 0.2507 0.2507 0.7493
9 I 0.2507 0.7493 0.7493
10 Y 0.0000 0.0000 0.0000

Computed properties:
M_tot = 0.000 μB/f.u.
Total energy = -31.60 eV per cell

---

The following is a DFT calculation (PBE) of crystalline La2AuI4 at its relaxed geometry.

Unit cell a=4.2026 b=10.9741 c=10.9741 alpha=90.00 beta=90.00 gamma=90.00
Fractional positions:
1 La 0.0000 0.8333 0.1667
2 I 0.0000 0.3260 0.0975
3 Au 0.5000 0.0000 0.0000
4 I 0.5000 0.8260 0.4025
5 I 0.0000 0.0975 0.3260
6 La 0.5000 0.3333 0.3333
7 I 0.5000 0.4025 0.8260
8 I 0.5000 0.1740 0.5975
9 I 0.0000 0.6740 0.9025
10 I 0.0000 0.9025 0.6740
11 Au 0.0000 0.5000 0.5000
12 I 0.5000 0.5975 0.1740
13 La 0.0000 0.1667 0.8333
14 La 0.5000 0.6667 0.6667

Computed properties:
M_tot = 0.019 μB/f.u.
Total energy = -53.08 eV per cell

---

Look up the M_tot of the fourth one. 0.000 μB/f.u.

---

What is the M_tot in the fifth record? 0.000 μB/f.u.